(1)
This record from Alexandria via LeMat-Bulk describes a relaxed InSeBr2 crystal. The functional is PBEsol.

As for the total energy: -2.52 eV/atom. As for the energy above the most stable polymorph in this dataset: 426 meV/atom.

The structure belongs to space group Fm-3m (No. 225); the cell edges are 7.352, 7.352 and 7.352 Å and the angles 90.00°, 90.00° and 90.00°. Symmetry generates all atoms from In at (0.000, 0.000, 0.000), Se at (0.000, 0.000, 0.500) and Br at (0.250, 0.250, 0.250).



(2)
This record from Alexandria via LeMat-Bulk describes a relaxed In5Se5Br crystal. The functional is PBEsol.

As for the total energy: -3.80 eV/atom.

The structure belongs to space group Pmn2_1 (No. 31); the cell edges are 4.093, 9.260 and 15.194 Å and the angles 90.00°, 90.00° and 90.00°. Symmetry generates all atoms from In at (0.000, 0.020, 0.000), In at (0.000, 0.307, 0.048), In at (0.000, 0.395, 0.654), In at (0.000, 0.643, 0.857), In at (0.000, 0.897, 0.272), Se at (0.000, 0.083, 0.406), Se at (0.000, 0.275, 0.820), Se at (0.000, 0.424, 0.208), Se at (0.000, 0.529, 0.494), Se at (0.000, 0.792, 0.107) and Br at (0.000, 0.906, 0.703).



(3)
This record from Alexandria via LeMat-Bulk describes a relaxed InSeBr3 crystal. The functional is PBEsol.

As for the total energy: -2.71 eV/atom.

The structure belongs to space group Pm-3m (No. 221); the cell edges are 5.350, 5.350 and 5.350 Å and the angles 90.00°, 90.00° and 90.00°. Symmetry generates all atoms from In at (0.000, 0.000, 0.000), Se at (0.500, 0.500, 0.500) and Br at (0.000, 0.500, 0.500).



(4)
This record from Alexandria via LeMat-Bulk describes a relaxed InSe2Br crystal. The functional is PBEsol.

As for the total energy: -3.26 eV/atom. As for the energy above the most stable polymorph in this dataset: 293 meV/atom.

The structure belongs to space group C2/m (No. 12); the cell edges are 12.379, 3.749 and 4.840 Å and the angles 90.00°, 100.20° and 90.00°. Symmetry generates all atoms from In at (0.000, 0.000, 0.000), Se at (0.218, 0.500, 0.125) and Br at (0.000, 0.500, 0.500).



(5)
This record from Alexandria via LeMat-Bulk describes a relaxed InSe2Br crystal. The functional is PBEsol.

As for the total energy: -3.28 eV/atom. As for the energy above the most stable polymorph in this dataset: 278 meV/atom.

The structure belongs to space group R-3m (No. 166, hexagonal axes); the cell edges are 4.0161, 4.0161 and 20.9664 Å and the angles 90.00°, 90.00° and 120.00°. Symmetry generates all atoms from In at (0.0000, 0.0000, 0.0000), Se at (0.0000, 0.0000, 0.2629) and Br at (0.0000, 0.0000, 0.5000).



(6)
This record from Alexandria via LeMat-Bulk describes a relaxed InSeBr2 crystal. The functional is PBEsol.

As for the total energy: -2.75 eV/atom. As for the energy above the most stable polymorph in this dataset: 194 meV/atom.

The structure belongs to space group Pmmm (No. 47); the cell edges are 3.754, 4.370 and 6.151 Å and the angles 90.00°, 90.00° and 90.00°. Symmetry generates all atoms from In at (0.000, 0.000, 0.000), Se at (0.500, 0.000, 0.500), Br at (0.000, 0.500, 0.500) and Br at (0.500, 0.500, 0.000).



(7)
This record from Alexandria via LeMat-Bulk describes a relaxed InSe2Br crystal. The functional is PBEsol.

As for the total energy: -2.91 eV/atom. As for the energy above the most stable polymorph in this dataset: 648 meV/atom.

The structure belongs to space group P4/mmm (No. 123); the cell edges are 5.017, 5.017 and 3.496 Å and the angles 90.00°, 90.00° and 90.00°. Symmetry generates all atoms from In at (0.000, 0.000, 0.000), Se at (0.000, 0.500, 0.500) and Br at (0.500, 0.500, 0.000).



(8)
This record from Alexandria via LeMat-Bulk describes a relaxed InSeBr2 crystal. The functional is PBEsol.

As for the total energy: -2.77 eV/atom. As for the energy above the most stable polymorph in this dataset: 169 meV/atom.

The structure belongs to space group I-42d (No. 122); the cell edges are 9.766, 9.766 and 5.302 Å and the angles 90.00°, 90.00° and 90.00°. Symmetry generates all atoms from In at (0.000, 0.000, 0.000), Se at (0.000, 0.000, 0.500) and Br at (0.114, 0.750, 0.125).



(9)
This record from Alexandria via LeMat-Bulk describes a relaxed InSeBr crystal. The functional is PBEsol.

As for the total energy: -3.54 eV/atom.

The structure belongs to space group P3m1 (No. 156); the cell edges are 3.9310, 3.9310 and 6.3294 Å and the angles 90.00°, 90.00° and 120.00°. Symmetry generates all atoms from In at (0.0000, 0.0000, 0.0000), Se at (0.6667, 0.3333, 0.7891) and Br at (0.3333, 0.6667, 0.2855).



(10)
This record from Alexandria via LeMat-Bulk describes a relaxed InSe2Br crystal. The functional is PBEsol.

As for the total energy: -3.55 eV/atom. As for the energy above the most stable polymorph in this dataset: 0 meV/atom.

The structure belongs to space group P2/m (No. 10); the cell edges are 5.099, 3.930 and 5.534 Å and the angles 90.00°, 106.54° and 90.00°. Symmetry generates all atoms from In at (0.000, 0.000, 0.000), Se at (0.389, 0.500, 0.161) and Br at (0.000, 0.000, 0.500).



(11)
This record from Alexandria via LeMat-Bulk describes a relaxed InSe2Br crystal. The functional is PBEsol.

As for the total energy: -3.21 eV/atom. As for the energy above the most stable polymorph in this dataset: 346 meV/atom.

The structure belongs to space group I4/mmm (No. 139); the cell edges are 3.952, 3.952 and 12.689 Å and the angles 90.00°, 90.00° and 90.00°. Symmetry generates all atoms from In at (0.000, 0.000, 0.000), Se at (0.000, 0.500, 0.250) and Br at (0.000, 0.000, 0.500).



(12)
This record from Alexandria via LeMat-Bulk describes a relaxed InSeBr2 crystal. The functional is PBEsol.

As for the total energy: -2.76 eV/atom. As for the energy above the most stable polymorph in this dataset: 178 meV/atom.

The structure belongs to space group C2/m (No. 12); the cell edges are 6.824, 8.562 and 5.107 Å and the angles 90.00°, 131.73° and 90.00°. Symmetry generates all atoms from In at (0.000, 0.000, 0.000), Se at (0.000, 0.500, 0.000) and Br at (0.250, 0.250, 0.500).



(13)
This record from Alexandria via LeMat-Bulk describes a relaxed In4SeBr crystal. The functional is PBEsol.

As for the total energy: -2.96 eV/atom.

The structure belongs to space group F-43m (No. 216); the cell edges are 8.635, 8.635 and 8.635 Å and the angles 90.00°, 90.00° and 90.00°. Symmetry generates all atoms from In at (0.124, 0.124, 0.376), Se at (0.250, 0.250, 0.750) and Br at (0.000, 0.000, 0.000).



(14)
This record from Alexandria via LeMat-Bulk describes a relaxed InSeBr crystal. The functional is PBEsol.

As for the total energy: -3.13 eV/atom.

The structure belongs to space group F-43m (No. 216); the cell edges are 6.826, 6.826 and 6.826 Å and the angles 90.00°, 90.00° and 90.00°. Symmetry generates all atoms from In at (0.000, 0.000, 0.000), Se at (0.250, 0.250, 0.250) and Br at (0.250, 0.250, 0.750).